# Cd2TcO4 GGA-PBE optimized geometry
# **Total energy**: -5.5146 eV/atom
# **E above lowest polymorph**: 0.000 eV per atom
# **Calculated density**: 4.760 g cm⁻³
# **Total magnetization**: 1.1 μB per formula unit
# **Crystal system**: tetragonal
data_Cd2TcO4
_chemical_formula_sum 'Cd4 Tc2 O8'
_symmetry_space_group_name_H-M 'I -4 2 m'
_symmetry_Int_Tables_number 121
_symmetry_space_group_name_Hall 'I -4 2'
_cell_length_a 5.2442
_cell_length_b 5.2442
_cell_length_c 9.8141
_cell_angle_alpha 90.00
_cell_angle_beta 90.00
_cell_angle_gamma 90.00
loop_
_atom_site_label
_atom_site_fract_x
_atom_site_fract_y
_atom_site_fract_z
Cd1 0.0000 0.5000 0.2500
Tc1 0.0000 0.0000 0.0000
O1 0.1944 0.1944 0.1198